MnAg2Ir: relaxed, PBE.

Unit cell a=2.7891 b=2.7891 c=8.3211 alpha=90.00 beta=90.00 gamma=90.00
Space group P4/mmm (No. 123)
Asymmetric unit:
1 Mn 0.0000 0.0000 0.0000
2 Ag 0.5000 0.5000 0.2455
3 Ir 0.0000 0.0000 0.5000

Calculated values
- VASP energy (eV for the cell shown) = -21.93

---

NbAlRu: relaxed, PBE.

Unit cell a=3.6037 b=4.0401 c=12.8486 alpha=90.00 beta=90.00 gamma=90.00
Space group Amm2 (No. 38)
Asymmetric unit:
1 Nb 0.0000 0.0000 0.0000
2 Nb 0.0000 0.0000 0.3264
3 Al 0.0000 0.0000 0.6654
4 Al 0.5000 0.0000 0.4983
5 Ru 0.5000 0.0000 0.1574
6 Ru 0.5000 0.0000 0.8244

Calculated values
- VASP energy (eV for the cell shown) = -96.62

---

Sc2FePb2: relaxed, PBE.

Unit cell a=7.0428 b=7.0428 c=4.4207 alpha=90.00 beta=90.00 gamma=90.00
Space group P4/mbm (No. 127)
Asymmetric unit:
1 Sc 0.1644 0.3356 0.0000
2 Fe 0.0000 0.0000 0.5000
3 Pb 0.1506 0.6506 0.5000

Calculated values
- VASP energy (eV for the cell shown) = -56.62

---

HfCd: relaxed, PBE.

Unit cell a=3.1940 b=4.2397 c=6.3993 alpha=90.00 beta=90.00 gamma=90.00
Space group Pmmn (No. 59, origin choice 2)
Asymmetric unit:
1 Hf 0.2500 0.2500 0.1201
2 Cd 0.2500 0.2500 0.6243

Calculated values
- VASP energy (eV for the cell shown) = -21.65

---

The evaluated energy of formation from the pure elements for the records listed, in turn: 43.44 -34.32 4.51 2.22 kJ/mol of atoms.